## SrCoCl (GGA-PBE)

Data for a geometry-optimized SrCoCl structure.

Calculated values
total DFT energy (no corrections) = -0.272 Ry per atom
formation energy without anion corrections = -0.45 eV per formula unit

```
data_SrCoCl
_chemical_formula_sum 'Sr1 Co1 Cl1'
_cell_length_a 4.1388
_cell_length_b 4.1388
_cell_length_c 6.5572
_cell_angle_alpha 90.00
_cell_angle_beta 90.00
_cell_angle_gamma 120.00
_space_group_name_H-M_alt 'P 3 m 1'
_space_group_IT_number 156
loop_
_space_group_symop_operation_xyz
'x,y,z'
'-y,x-y,z'
'-x+y,-x,z'
'-y,-x,z'
'-x+y,y,z'
'x,x-y,z'
loop_
_atom_site_label
_atom_site_type_symbol
_atom_site_fract_x
_atom_site_fract_y
_atom_site_fract_z
_atom_site_occupancy
Sr1 Sr 0.0000 0.0000 0.0000 1
Co1 Co 0.3333 0.6667 0.6708 1
Cl1 Cl 0.6667 0.3333 0.2533 1
```